Computed, not measured: a geometry-optimized Tm5ZrZn6 structure at the PBE-GGA level of DFT.

extended XYZ file:
```
12
Lattice="4.658 -0.028 1.549 0.038 7.004 0.013 -0.016 -0.014 7.797" Properties=species:S:1:pos:R:3 pbc="T T T"
Zn 2.338 1.684 0.778
Zn 3.905 1.682 3.831
Zn 2.342 5.278 8.581
Tm 0.019 3.502 0.006
Tm 3.122 3.474 6.213
Tm 3.094 -0.028 6.236
Tm 1.558 3.488 3.146
Zn 0.775 5.280 5.528
Zn 0.755 1.696 5.521
Zn 3.924 5.266 3.837
Tm 1.585 6.990 3.123
Zr 0.000 0.000 0.000
```

Summary:
Energy = -42.38 eV/f.u.
ΔH_f (0 K) = -319.4 meV per atom